Record 1
The following is a PBE calculation of NaGe6As8 after structural relaxation, from the Alexandria database.

Values from the calculation:
calculated formation energy = 117 meV/atom
calculated volume = 422.32 Å³ per cell
E = -4.297 eV/atom

POSCAR file:
```
NaGe6As8
1.0
4.928 2.845 5.020
-4.928 2.845 5.020
0.000 -5.690 5.020
Na Ge As
1 6 8
Direct
0.000 0.000 0.000
0.144 0.516 0.333
0.333 0.144 0.516
0.484 0.667 0.856
0.516 0.333 0.144
0.667 0.856 0.484
0.856 0.484 0.667
0.191 0.412 0.670
0.215 0.215 0.215
0.330 0.809 0.588
0.412 0.670 0.191
0.588 0.330 0.809
0.670 0.191 0.412
0.785 0.785 0.785
0.809 0.588 0.330
```

Record 2
The following is a PBE calculation of LiMg2Ge after structural relaxation, from the Alexandria database.

Values from the calculation:
calculated formation energy = -210 meV/atom
calculated volume = 148.94 Å³ per cell
E = -2.641 eV/atom

POSCAR file:
```
LiMg2Ge
1.0
5.975 0.000 0.000
0.000 4.740 0.000
-2.854 0.000 5.259
Li Mg Ge
2 4 2
Direct
0.166 0.250 0.336
0.834 0.750 0.664
0.157 0.250 0.848
0.347 0.750 0.657
0.653 0.250 0.343
0.843 0.750 0.152
0.338 0.750 0.163
0.662 0.250 0.837
```

Record 3
The following is a PBE calculation of Er7AuS5 after structural relaxation, from the Alexandria database.

Values from the calculation:
calculated volume = 571.95 Å³ per cell
E = -5.967 eV/atom

POSCAR file:
```
Er7AuS5
1.0
3.853 0.000 0.000
0.000 23.278 0.000
-1.915 0.000 6.377
Er Au S
14 2 10
Direct
0.028 0.250 0.055
0.137 0.536 0.274
0.137 0.964 0.274
0.314 0.176 0.628
0.314 0.324 0.628
0.410 0.609 0.820
0.410 0.891 0.820
0.590 0.109 0.180
0.590 0.391 0.180
0.686 0.676 0.372
0.686 0.824 0.372
0.863 0.036 0.726
0.863 0.464 0.726
0.972 0.750 0.945
0.298 0.750 0.597
0.702 0.250 0.403
0.048 0.641 0.095
0.048 0.859 0.095
0.226 0.070 0.452
0.226 0.430 0.452
0.500 0.000 0.000
0.500 0.500 0.000
0.774 0.570 0.548
0.774 0.930 0.548
0.952 0.141 0.905
0.952 0.359 0.905
```

Record 4
The following is a PBE calculation of NaRe2Ni after structural relaxation, from the Alexandria database.

Values from the calculation:
calculated formation energy = 1290 meV/atom
polymorph energy (0 for the lowest one) = 182.7 meV per atom
calculated volume = 56.84 Å³ per cell
E = -6.709 eV/atom

POSCAR file:
```
NaRe2Ni
1.0
0.000 3.052 3.052
3.052 0.000 3.052
3.052 3.052 0.000
Na Re Ni
1 2 1
Direct
0.000 0.000 0.000
0.250 0.250 0.250
0.750 0.750 0.750
0.500 0.500 0.500
```

Record 5
The following is a PBE calculation of MgZr2Zn after structural relaxation, from the Alexandria database.

Values from the calculation:
calculated formation energy = 25 meV/atom
polymorph energy (0 for the lowest one) = 138.1 meV per atom
calculated volume = 84.14 Å³ per cell
E = -4.966 eV/atom

POSCAR file:
```
MgZr2Zn
1.0
1.527 0.881 10.420
-1.527 0.881 10.420
0.000 -1.763 10.420
Mg Zr Zn
1 2 1
Direct
0.000 0.000 0.000
0.245 0.245 0.245
0.755 0.755 0.755
0.500 0.500 0.500
```

Record 6
The following is a PBE calculation of YMgOs2 after structural relaxation, from the Alexandria database.

Values from the calculation:
calculated formation energy = 325 meV/atom
calculated volume = 70.70 Å³ per cell
E = -7.305 eV/atom

POSCAR file:
```
YMgOs2
1.0
-2.318 2.318 3.290
2.318 -2.318 3.290
2.318 2.318 -3.290
Y Mg Os
1 1 2
Direct
0.000 0.000 0.000
0.250 0.750 0.500
0.500 0.500 0.000
0.750 0.250 0.500
```